YThBi: optimized geometry, PBE.

Structure (extended XYZ):
```
3
Lattice="-2.032 2.032 5.702 2.032 -2.032 5.702 2.032 2.032 -5.702" Properties=species:S:1:pos:R:3 pbc="T T T"
Y 0.000 0.000 0.000
Th 0.000 0.000 7.870
Bi 0.000 0.000 4.062
```

DOS at the Fermi energy (states/eV per cell): 3.02
E_tot (eV/cell): -18.82
Formation energy from the elements (meV/atom): -353.0
Space-group type: I4mm, No. 107

=====

TcCCl2: optimized geometry, PBE.

Structure (extended XYZ):
```
8
Lattice="-4.487 4.487 1.932 4.487 -4.487 1.932 4.487 4.487 -1.932" Properties=species:S:1:pos:R:3 pbc="T T T"
Tc 0.000 0.000 0.000
Tc 0.000 4.487 0.966
C 4.487 0.000 0.966
C 0.000 0.000 1.932
Cl 0.868 2.243 0.483
Cl -2.243 3.619 1.449
Cl -0.868 6.730 0.483
Cl 2.243 5.354 1.449
```

Energy relative to the lowest polymorph listed for this composition (meV/atom): 0
DOS at the Fermi energy (states/eV per cell): 8.98
E_tot (eV/cell): -42.32
Uncorrected formation energy (meV per atom): 531.2
Space-group type: I-42d, No. 122

=====

RbGdBi2: optimized geometry, PBE.

Structure (extended XYZ):
```
4
Lattice="4.262 0.000 0.000 0.000 4.262 0.000 0.000 0.000 8.177" Properties=species:S:1:pos:R:3 pbc="T T T"
Rb 0.000 0.000 0.000
Gd 0.000 0.000 4.088
Bi 2.131 2.131 2.538
Bi 2.131 2.131 5.639
```

Energy relative to the lowest polymorph listed for this composition (meV/atom): 0
DOS at the Fermi energy (states/eV per cell): 2.69
E_tot (eV/cell): -24.95
Formation energy from the elements (meV/atom): -535.0
Space-group type: P4/mmm, No. 123

=====

Ca4SbH: optimized geometry, PBE.

Structure (extended XYZ):
```
12
Lattice="6.576 0.000 0.000 2.951 7.116 0.000 0.579 2.277 7.409" Properties=species:S:1:pos:R:3 pbc="T T T"
Ca 1.351 3.107 3.363
Ca 4.540 8.048 6.381
Ca 3.042 4.424 7.055
Ca 5.374 6.879 2.791
Ca 4.731 2.513 4.618
Ca 7.063 4.969 0.354
Ca 5.565 1.345 1.028
Ca 8.754 6.286 4.046
Sb 3.930 4.219 1.824
Sb 6.175 5.174 5.585
H 0.289 1.138 3.705
H 3.288 0.000 0.000
```

DOS at the Fermi energy (states/eV per cell): 8.15
E_tot (eV/cell): -35.57
Space-group type: P-1, No. 2

=====

Ta2CdAg: optimized geometry, PBE.

Structure (extended XYZ):
```
4
Lattice="5.214 -1.446 0.000 5.214 1.446 0.000 -0.849 0.000 4.928" Properties=species:S:1:pos:R:3 pbc="T T T"
Ta 2.383 0.000 1.214
Ta 7.196 0.000 3.714
Cd -0.425 0.000 2.464
Ag 5.214 0.000 0.000
```

DOS at the Fermi energy (states/eV per cell): 3.11
E_tot (eV/cell): -26.22
Formation energy from the elements (meV/atom): 313.2
Space-group type: C2/m, No. 12

=====

TaRuRh2: optimized geometry, PBE.

Structure (extended XYZ):
```
4
Lattice="3.887 0.000 0.000 0.000 3.887 0.000 0.000 0.000 3.922" Properties=species:S:1:pos:R:3 pbc="T T T"
Ta 0.000 0.000 0.000
Ru 1.944 1.944 0.000
Rh 0.000 1.944 1.961
Rh 1.944 0.000 1.961
```

Energy relative to the lowest polymorph listed for this composition (meV/atom): 0
DOS at the Fermi energy (states/eV per cell): 3.20
E_tot (eV/cell): -37.72
Formation energy from the elements (meV/atom): -472.9
Space-group type: P4/mmm, No. 123

=====

B5C7: optimized geometry, PBE.

Structure (extended XYZ):
```
12
Lattice="4.234 -1.262 0.000 4.234 1.262 0.000 -3.879 0.000 7.262" Properties=species:S:1:pos:R:3 pbc="T T T"
B 0.000 0.000 0.000
B -1.926 0.000 3.976
B -0.472 0.000 3.119
B -0.015 0.000 4.931
B 6.064 0.000 2.149
C -2.294 0.000 7.042
C 2.304 0.000 1.109
C 1.613 0.000 4.793
C 3.789 0.000 1.001
C 2.282 0.000 6.186
C 4.443 0.000 2.334
C 3.772 0.000 5.942
```

Energy relative to the lowest polymorph listed for this composition (meV/atom): 79
DOS at the Fermi energy (states/eV per cell): 1.18
E_tot (eV/cell): -93.91
Formation energy from the elements (meV/atom): 336.9
Space-group type: Cm, No. 8

=====

K2SeI: optimized geometry, PBE.

Structure (extended XYZ):
```
8
Lattice="-4.601 4.601 3.477 4.601 -4.601 3.477 4.601 4.601 -3.477" Properties=species:S:1:pos:R:3 pbc="T T T"
K 2.301 2.031 -0.869
K 2.570 -2.301 4.346
K 2.301 2.570 2.608
K 2.031 6.902 0.869
Se 0.000 0.000 0.000
Se 0.000 4.601 1.738
I 4.601 0.000 1.738
I 0.000 0.000 3.477
```

Energy relative to the lowest polymorph listed for this composition (meV/atom): 15
DOS at the Fermi energy (states/eV per cell): 2.68
E_tot (eV/cell): -21.74
Uncorrected formation energy (meV per atom): -909.8
Space-group type: I-42d, No. 122

=====

La2CoRh: optimized geometry, PBE.

Structure (extended XYZ):
```
4
Lattice="2.102 1.214 7.198 -2.102 1.214 7.198 0.000 -2.427 7.198" Properties=species:S:1:pos:R:3 pbc="T T T"
La 0.000 0.000 0.000
La 0.000 0.000 3.693
Co 0.000 0.000 9.013
Rh 0.000 0.000 16.273
```

Energy relative to the lowest polymorph listed for this composition (meV/atom): 60
DOS at the Fermi energy (states/eV per cell): 3.83
E_tot (eV/cell): -25.64
Formation energy from the elements (meV/atom): -332.4
Space-group type: R3m, No. 160

=====

RbLi2TcF8: optimized geometry, PBE.

Structure (extended XYZ):
```
12
Lattice="5.152 0.000 0.000 -2.576 4.462 0.000 0.000 0.000 8.342" Properties=species:S:1:pos:R:3 pbc="T T T"
Rb 0.000 0.000 0.000
Li 0.000 2.975 6.206
Li 2.576 1.487 2.137
Tc 0.000 0.000 4.171
F -0.669 1.392 5.320
F -1.036 4.346 5.320
F 0.871 1.275 3.023
F 0.000 2.975 7.977
F 2.576 1.487 0.366
F 1.705 3.187 5.320
F 3.612 0.117 3.023
F 3.245 3.070 3.023
```

DOS at the Fermi energy (states/eV per cell): 15.22
E_tot (eV/cell): -58.89
Uncorrected formation energy (meV per atom): -2396.6
Space-group type: P-3, No. 147

=====

Pm4PuGe5: optimized geometry, PBE.

Structure (extended XYZ):
```
10
Lattice="-4.740 4.740 2.997 4.740 -4.740 2.997 4.740 4.740 -2.997" Properties=species:S:1:pos:R:3 pbc="T T T"
Pm 2.852 0.912 0.000
Pm 3.828 -1.888 2.997
Pm 0.912 6.627 0.000
Pm 1.888 3.828 2.997
Pu 0.000 0.000 2.997
Ge 0.000 0.000 0.000
Ge 5.643 2.019 0.000
Ge 2.019 3.836 0.000
Ge 2.721 0.904 2.997
Ge -0.904 2.721 2.997
```

DOS at the Fermi energy (states/eV per cell): 13.35
E_tot (eV/cell): -62.27
Formation energy from the elements (meV/atom): -584.5
Space-group type: I4/m, No. 87